# TlBr2F

An optimized crystal structure of TlBr2F (PBE-GGA, Alexandria).

The space group is I-42d (No. 122) and the conventional cell measures 7.576, 7.576 and 7.201 Å, with angles of 90.00, 90.00 and 90.00 degrees. The distinct sites, in fractional coordinates, are Tl at (0.000, 0.000, 0.000), Br at (0.234, 0.750, 0.125) and F at (0.000, 0.000, 0.500).

For the offset from the most stable computed form, the calculation gives 493.9 meV per atom. The uncorrected formation energy is -0.43 eV per atom.